Computed, not measured: an optimized crystal structure of LiBe3 at the GGA-PBE level of DFT.

Unit cell a=4.3013 b=3.6203 c=9.9435 alpha=90.00 beta=90.00 gamma=90.00
Closest atoms and distances in Å follow each position.
Fractional positions:
1 Li 0.0000 0.2500 0.4155  5 Be 2.34-2.56, 2 Li 2.47
2 Li 0.0000 0.7500 0.5845  5 Be 2.34-2.56, 2 Li 2.47
3 Li 0.5000 0.7500 0.9155  5 Be 2.34-2.56, 2 Li 2.47
4 Li 0.5000 0.2500 0.0845  5 Be 2.34-2.56, 2 Li 2.47
5 Be 0.2500 0.2500 0.7500  8 Be 2.15-2.22
6 Be 0.2500 0.7500 0.2500  8 Be 2.15-2.22
7 Be 0.7500 0.7500 0.2500  8 Be 2.15-2.22
8 Be 0.7500 0.2500 0.7500  8 Be 2.15-2.22
9 Be 0.0000 0.2500 0.9446  7 Be 2.12-2.32
10 Be 0.0000 0.7500 0.0554  7 Be 2.12-2.32
11 Be 0.5000 0.7500 0.4446  7 Be 2.12-2.32
12 Be 0.5000 0.2500 0.5554  7 Be 2.12-2.32
13 Be 0.0000 0.2500 0.1779  7 Be 2.18-2.32, 3 Li 2.34-2.36
14 Be 0.0000 0.7500 0.8221  7 Be 2.18-2.32, 3 Li 2.34-2.36
15 Be 0.5000 0.7500 0.6779  7 Be 2.18-2.32, 3 Li 2.34-2.36
16 Be 0.5000 0.2500 0.3221  7 Be 2.18-2.32, 3 Li 2.34-2.36

Summary:
symmetry	Imma
excess energy over the best structure of this formula in the dataset	0.0	kJ/mol of atoms
formation energy	0.03	eV/atom

---

Computed, not measured: an optimized crystal structure of DyErSnSe at the GGA-PBE level of DFT.

Unit cell a=4.2440 b=4.2447 c=5.9748 alpha=90.00 beta=90.00 gamma=90.00
Closest atoms and distances in Å follow each position.
Fractional positions:
1 Dy 0.5000 0.3914 0.5926  2 Se 2.99, 4 Sn 3.00
2 Er 0.0000 0.8916 0.0923  2 Sn 2.99, 4 Se 3.00
3 Sn 0.0000 0.8915 0.5923  2 Er 2.99, 4 Dy 3.00
4 Se 0.5000 0.3915 0.0926  2 Dy 2.99, 4 Er 3.00

Summary:
uncorrected formation energy	-1214	meV per atom
symmetry	P4/mmm

---

| no. | VASP energy (hartree per atom) | DOS at the Fermi energy (states/eV per atom) | magnetic moment (μB/cell) |
| --- | --- | --- | --- |
| 1 | -0.119 | 0.17 | 0.0 |
| 2 | -0.198 | 0.17 | 0.0 |